This record from Alexandria describes an optimized crystal structure of MgOsPt3. The functional is GGA-PBEsol.

Cell lengths 4.437, 4.437, 4.437 Å; angles 90.00, 90.00, 90.00 degrees
Space group Pm-3m (No. 221)
Inequivalent atoms, fractional coordinates:
1 Mg 0.000 0.000 0.000 x1
2 Os 0.500 0.500 0.500 x1
3 Pt 0.000 0.000 0.500 x3

Properties
Energy relative to the elements = 1639 meV/atom
Total DFT energy (no corrections) = -5.33 eV/atom


This record from Alexandria describes an optimized crystal structure of YAlZn. The functional is GGA-PBEsol.

Cell lengths 4.423, 7.090, 7.602 Å; angles 90.00, 90.00, 90.00 degrees
Space group Imm2 (No. 44)
Inequivalent atoms, fractional coordinates:
1 Y 0.000 0.000 0.000 x2
2 Y 0.000 0.500 0.053 x2
3 Al 0.000 0.285 0.689 x4
4 Zn 0.000 0.211 0.360 x4

Properties
Energy relative to the elements = -486 meV/atom
Total DFT energy (no corrections) = -4.65 eV/atom


This record from Alexandria describes an optimized crystal structure of SmPO4. The functional is GGA-PBEsol.

Cell lengths 7.012, 7.012, 6.114 Å; angles 90.00, 90.00, 90.00 degrees
Space group I4_1/amd (No. 141, origin choice 2)
Inequivalent atoms, fractional coordinates:
1 Sm 0.000 0.250 0.375 x4
2 P 0.000 0.250 0.875 x4
3 O 0.000 0.077 0.718 x16

Properties
Raw formation energy = -3.0441 eV/atom
Total DFT energy (no corrections) = -8.36 eV/atom


In the order shown, the computed total magnetic moment values come out to 2.6 0.0 0.0 Bohr magnetons per cell.